# GaAuBr4

A relaxed structure of GaAuBr4 (PBE, the Alexandria database).

Unit cell a=6.052 b=6.052 c=11.428 alpha=90.00 beta=90.00 gamma=90.00
Positions (direct):
Ga (0.000, 0.000, 0.000)
Ga (0.000, 0.000, 0.500)
Au (0.000, 0.500, 0.250)
Au (0.500, 0.000, 0.750)
Br (0.223, 0.241, 0.885)
Br (0.223, 0.759, 0.615)
Br (0.241, 0.223, 0.385)
Br (0.241, 0.777, 0.115)
Br (0.759, 0.223, 0.115)
Br (0.759, 0.777, 0.385)
Br (0.777, 0.241, 0.615)
Br (0.777, 0.759, 0.885)

Properties
E: -32.18 eV per cell
ΔE_f (raw): -3.1 eV per formula unit
Symmetry: No. 112

---

# MgAlPb2

A relaxed structure of MgAlPb2 (PBE, the Alexandria database).

Unit cell a=4.391 b=4.793 c=4.903 alpha=90.00 beta=90.00 gamma=90.00
Positions (direct):
Mg (0.000, 0.000, 0.000)
Al (0.000, 0.500, 0.500)
Pb (0.500, 0.000, 0.500)
Pb (0.500, 0.500, 0.000)

Properties
E: -12.30 eV per cell
Calculated formation energy: 0.4 eV per formula unit
Symmetry: No. 47
Energy relative to the lowest polymorph listed for this composition: 31.6 meV per atom

---

# BeGa2Tc

A relaxed structure of BeGa2Tc (PBE, the Alexandria database).

Unit cell a=5.389 b=5.389 c=5.389 alpha=102.31 beta=102.31 gamma=125.01
Positions (direct):
Be (0.000, 0.000, 0.000)
Be (0.750, 0.250, 0.500)
Ga (0.086, 0.625, 0.961)
Ga (0.375, 0.336, 0.461)
Ga (0.664, 0.125, 0.039)
Ga (0.875, 0.914, 0.539)
Tc (0.250, 0.750, 0.500)
Tc (0.500, 0.500, 0.000)

Properties
E: -37.53 eV per cell
Calculated formation energy: 1.4 eV per formula unit
Symmetry: No. 122